# Tm12H5Pd3

An optimized crystal structure of Tm12H5Pd3 (PBE, Alexandria via LeMat-Bulk).

## Properties
The final energy comes out at -4.7297 eV per atom. The calculation puts the total moment at 0.00 μB per formula unit. The volume comes out at 20.78 A^3/atom.

The structure in POSCAR format:
```
Tm12H5Pd3
1.0
-7.4625 7.4625 7.4625
7.4625 -7.4625 7.4625
7.4625 7.4625 -7.4625
Tm H Pd
48 20 12
Direct
0.0211 0.2127 0.1162
0.0211 0.3085 0.9049
0.0951 0.6162 0.4036
0.0951 0.9789 0.6915
0.0964 0.7127 0.6915
0.0964 0.8838 0.4049
0.1162 0.0211 0.2127
0.1162 0.5951 0.9036
0.1915 0.2127 0.5964
0.1915 0.4789 0.5951
0.2127 0.1162 0.0211
0.2127 0.5964 0.1915
0.2873 0.3085 0.9036
0.2873 0.4789 0.3838
0.3085 0.9036 0.2873
0.3085 0.9049 0.0211
0.3838 0.2873 0.4789
0.3838 0.5964 0.9049
0.4036 0.0951 0.6162
0.4036 0.8085 0.7873
0.4049 0.0964 0.8838
0.4049 0.8085 0.5211
0.4789 0.3838 0.2873
0.4789 0.5951 0.1915
0.5211 0.4049 0.8085
0.5211 0.6162 0.7127
0.5951 0.1915 0.4789
0.5951 0.9036 0.1162
0.5964 0.1915 0.2127
0.5964 0.9049 0.3838
0.6162 0.4036 0.0951
0.6162 0.7127 0.5211
0.6915 0.0951 0.9789
0.6915 0.0964 0.7127
0.7127 0.5211 0.6162
0.7127 0.6915 0.0964
0.7873 0.4036 0.8085
0.7873 0.8838 0.9789
0.8085 0.5211 0.4049
0.8085 0.7873 0.4036
0.8838 0.4049 0.0964
0.8838 0.9789 0.7873
0.9036 0.1162 0.5951
0.9036 0.2873 0.3085
0.9049 0.0211 0.3085
0.9049 0.3838 0.5964
0.9789 0.6915 0.0951
0.9789 0.7873 0.8838
0.0000 0.0000 0.0000
0.0000 0.0000 0.5000
0.0000 0.5000 0.0000
0.0000 0.5000 0.5000
0.1250 0.7500 0.8750
0.1250 0.8750 0.2500
0.2500 0.1250 0.8750
0.2500 0.6250 0.3750
0.3750 0.2500 0.6250
0.3750 0.6250 0.7500
0.5000 0.0000 0.0000
0.5000 0.0000 0.5000
0.5000 0.5000 0.0000
0.5000 0.5000 0.5000
0.6250 0.3750 0.2500
0.6250 0.7500 0.3750
0.7500 0.3750 0.6250
0.7500 0.8750 0.1250
0.8750 0.1250 0.7500
0.8750 0.2500 0.1250
0.1250 0.2500 0.3750
0.1250 0.3750 0.7500
0.2500 0.3750 0.1250
0.2500 0.8750 0.6250
0.3750 0.1250 0.2500
0.3750 0.7500 0.1250
0.6250 0.2500 0.8750
0.6250 0.8750 0.7500
0.7500 0.1250 0.3750
0.7500 0.6250 0.8750
0.8750 0.6250 0.2500
0.8750 0.7500 0.6250
```

# BaTbSb2

An optimized crystal structure of BaTbSb2 (PBE, Alexandria via LeMat-Bulk).

## Properties
The calculation puts the total moment at 0.00 μB per formula unit. The calculation puts the formation energy (no corrections) at -0.944 eV/atom. The volume comes out at 36.67 A^3/atom.

The structure in POSCAR format:
```
BaTbSb2
1.0
4.6689 0.0000 0.0000
-2.3345 4.0434 0.0000
0.0000 0.0000 23.3108
Ba Tb Sb
3 3 6
Direct
0.0000 0.0000 0.0000
0.3333 0.6667 0.6667
0.6667 0.3333 0.3333
0.0000 0.0000 0.5000
0.3333 0.6667 0.1667
0.6667 0.3333 0.8333
0.0000 0.0000 0.2359
0.0000 0.0000 0.7641
0.3333 0.6667 0.4307
0.3333 0.6667 0.9026
0.6667 0.3333 0.0974
0.6667 0.3333 0.5693
```

# NaAlSbTe

An optimized crystal structure of NaAlSbTe (PBE, Alexandria via LeMat-Bulk).

## Properties
The calculation puts the total moment at 0.00 μB per formula unit. The calculation puts the formation energy (no corrections) at -0.328 eV/atom. The volume comes out at 27.25 A^3/atom.

The structure in POSCAR format:
```
NaAlSbTe
1.0
3.9330 0.0000 0.0000
-1.9665 3.4061 0.0000
0.0000 0.0000 24.4114
Na Al Sb Te
3 3 3 3
Direct
0.0000 0.0000 0.0000
0.3333 0.6667 0.6667
0.6667 0.3333 0.3333
0.0000 0.0000 0.4951
0.3333 0.6667 0.1618
0.6667 0.3333 0.8284
0.0000 0.0000 0.2349
0.3333 0.6667 0.9016
0.6667 0.3333 0.5682
0.0000 0.0000 0.7631
0.3333 0.6667 0.4297
0.6667 0.3333 0.0964
```